DFT (SCAN) results for ZrCo3Se at its PBEsol-relaxed geometry.

Calculated values
The calculation puts the total magnetization at 0.71 μB/atom. The energy relative to the elements, uncorrected comes out at 0.4371 eV per atom. The density of states at the Fermi level comes out at 5.6 states/eV/cell.

Cell lengths 4.2283, 4.2283, 4.2283 Å; angles 90.00, 90.00, 90.00 degrees
Last column: nearest neighbours and their distance in Å.
Fractional coordinates of all 5 atoms:
Se (0.0000, 0.0000, 0.0000)  6 Co 2.11
Zr (0.5000, 0.5000, 0.5000)  12 Co 2.99
Co (0.0000, 0.5000, 0.0000)  2 Se 2.11
Co (0.0000, 0.0000, 0.5000)  2 Se 2.11
Co (0.5000, 0.0000, 0.0000)  2 Se 2.11

=====

DFT (SCAN) results for Zr2CoSe2 at its PBEsol-relaxed geometry.

Calculated values
The calculation puts the total magnetization at 0.00 μB/atom. The energy relative to the elements, uncorrected comes out at -0.4956 eV per atom. The density of states at the Fermi level comes out at 5.1 states/eV/cell.

Cell lengths 5.1681, 5.1754, 5.1681 Å; angles 60.05, 90.00, 119.95 degrees
Last column: nearest neighbours and their distance in Å.
Fractional coordinates of all 5 atoms:
Co (0.0000, 0.0000, 0.0000)  2 Se 2.23
Se (0.3044, 0.6088, 0.6956)  1 Co 2.23
Se (0.6956, 0.3912, 0.3044)  1 Co 2.23
Zr (0.2500, 0.5000, 0.2500)  4 Se 2.61
Zr (0.7500, 0.5000, 0.7500)  4 Se 2.61

=====

DFT (SCAN) results for Co5Si at its PBEsol-relaxed geometry.

Calculated values
The calculation puts the total magnetization at 1.21 μB/atom. The energy relative to the elements, uncorrected comes out at -0.1150 eV per atom. The density of states at the Fermi level comes out at 3.0 states/eV/cell.

Cell lengths 2.5605, 2.5605, 9.4763 Å; angles 90.00, 90.00, 90.00 degrees
Last column: nearest neighbours and their distance in Å.
Fractional coordinates of all 6 atoms:
Co (0.0000, 0.0000, 0.1528)  4 Si 2.32, 8 Co 2.46-2.56
Co (0.0000, 0.0000, 0.8472)  4 Si 2.32, 8 Co 2.46-2.56
Co (0.5000, 0.5000, 0.6708)  12 Co 2.43-2.56
Co (0.0000, 0.0000, 0.5000)  12 Co 2.43-2.56
Co (0.5000, 0.5000, 0.3292)  12 Co 2.43-2.56
Si (0.5000, 0.5000, 0.0000)  8 Co 2.32, 4 Si 2.56

=====

DFT (SCAN) results for Co3Si at its PBEsol-relaxed geometry.

Calculated values
The calculation puts the total magnetization at 0.88 μB/atom. The energy relative to the elements, uncorrected comes out at -0.1785 eV per atom. The density of states at the Fermi level comes out at 3.5 states/eV/cell.

Cell lengths 3.5250, 3.5250, 4.1380 Å; angles 115.21, 115.21, 90.00 degrees
Last column: nearest neighbours and their distance in Å.
Fractional coordinates of all 4 atoms:
Si (0.0000, 0.0000, 0.0000)  12 Co 2.42-2.49
Co (0.2500, 0.7500, 0.5000)  8 Co 2.42-2.49, 4 Si 2.42
Co (0.5000, 0.5000, 0.0000)  8 Co 2.42, 4 Si 2.49
Co (0.7500, 0.2500, 0.5000)  8 Co 2.42-2.49, 4 Si 2.42